CdGaRe2 PBE-GGA relaxed; total moment = 0.0 μB/f.u.; relative energy among the computed polymorphs = 0.0 meV/atom; DOS(E_F) = 1.064 states/eV per atom; crystal system = cubic; space group = Fm-3m (225); energy = -25.638 eV for the cell shown; calculated volume = 15.82 Å³/atom; ΔH_f (0 K) = 800 meV per atom
1.0
0.000 3.163 3.163
3.163 0.000 3.163
3.163 3.163 0.000
Re Ga Cd
2 1 1
Direct
0.250 0.250 0.250
0.750 0.750 0.750
0.000 0.000 0.000
0.500 0.500 0.500